# LuCoC2 (SCAN, single point on PBEsol structure)
# Formation energy in eV/atom: -0.39
# Volume in Å³/atom: 11.01
# VASP energy in eV per cell: -94.42
data_LuCoC2
_symmetry_space_group_name_H-M 'P 1'
_symmetry_Int_Tables_number 1
_symmetry_space_group_name_Hall 'P 1'
_cell_length_a 3.3846
_cell_length_b 3.6749
_cell_length_c 3.6749
_cell_angle_alpha 74.39
_cell_angle_beta 90.00
_cell_angle_gamma 90.00
loop_
_atom_site_label
_atom_site_fract_x
_atom_site_fract_y
_atom_site_fract_z
Lu1 0.0000 0.0000 0.0000
Co1 0.5000 0.6167 0.6167
C1 0.5000 0.1497 0.4606
C2 0.5000 0.4606 0.1497